No. 1
# TlNiMo4

A geometry-optimized TlNiMo4 structure (GGA-PBE, Alexandria via LeMat-Bulk).

- Uncorrected energy: -189.9 eV for the cell shown

```
data_TlNiMo4
_chemical_formula_sum 'Tl4 Ni4 Mo16'
_space_group_name_H-M_alt 'F -4 3 m'
_space_group_IT_number 216
_space_group_name_Hall 'F -4 2 3'
_cell_length_a 7.4495
_cell_length_b 7.4495
_cell_length_c 7.4495
_cell_angle_alpha 90.00
_cell_angle_beta 90.00
_cell_angle_gamma 90.00
loop_
_atom_site_label
_atom_site_fract_x
_atom_site_fract_y
_atom_site_fract_z
_atom_site_occupancy
Tl1 0.0000 0.0000 0.0000 1
Ni1 0.2500 0.2500 0.2500 1
Mo1 0.1240 0.1240 0.6240 1
```



No. 2
# TlNiMo2

A geometry-optimized TlNiMo2 structure (GGA-PBE, Alexandria via LeMat-Bulk).

- Offset from the most stable computed form: 387 meV/atom
- Uncorrected energy: -107.2 eV for the cell shown

```
data_TlNiMo2
_chemical_formula_sum 'Tl4 Ni4 Mo8'
_space_group_name_H-M_alt 'F m -3 m'
_space_group_IT_number 225
_space_group_name_Hall '-F 4 2 3'
_cell_length_a 6.3878
_cell_length_b 6.3878
_cell_length_c 6.3878
_cell_angle_alpha 90.00
_cell_angle_beta 90.00
_cell_angle_gamma 90.00
loop_
_atom_site_label
_atom_site_fract_x
_atom_site_fract_y
_atom_site_fract_z
_atom_site_occupancy
Tl1 0.0000 0.0000 0.0000 1
Ni1 0.0000 0.0000 0.5000 1
Mo1 0.2500 0.2500 0.2500 1
```



No. 3
# TlNiMo2

A geometry-optimized TlNiMo2 structure (GGA-PBE, Alexandria via LeMat-Bulk).

- Offset from the most stable computed form: 294 meV/atom
- Uncorrected energy: -81.5 eV for the cell shown

```
data_TlNiMo2
_chemical_formula_sum 'Tl3 Ni3 Mo6'
_space_group_name_H-M_alt 'R -3 m'
_space_group_IT_number 166
_space_group_name_Hall '-R 3 2"'
_cell_length_a 2.8954
_cell_length_b 2.8954
_cell_length_c 27.4156
_cell_angle_alpha 90.00
_cell_angle_beta 90.00
_cell_angle_gamma 120.00
loop_
_atom_site_label
_atom_site_fract_x
_atom_site_fract_y
_atom_site_fract_z
_atom_site_occupancy
Tl1 0.0000 0.0000 0.0000 1
Ni1 0.0000 0.0000 0.5000 1
Mo1 0.0000 0.0000 0.2412 1
```



No. 4
# TlNiMo2

A geometry-optimized TlNiMo2 structure (GGA-PBE, Alexandria via LeMat-Bulk).

- Offset from the most stable computed form: 62 meV/atom
- Uncorrected energy: -28.1 eV for the cell shown

```
data_TlNiMo2
_chemical_formula_sum 'Tl1 Ni1 Mo2'
_space_group_name_H-M_alt 'P 4/m m m'
_space_group_IT_number 123
_space_group_name_Hall '-P 4 2'
_cell_length_a 3.7836
_cell_length_b 3.7836
_cell_length_c 4.4914
_cell_angle_alpha 90.00
_cell_angle_beta 90.00
_cell_angle_gamma 90.00
loop_
_atom_site_label
_atom_site_fract_x
_atom_site_fract_y
_atom_site_fract_z
_atom_site_occupancy
Tl1 0.0000 0.0000 0.0000 1
Ni1 0.5000 0.5000 0.0000 1
Mo1 0.0000 0.5000 0.5000 1
```